(1)
# Tb2BF

Crystalline Tb2BF at its relaxed geometry (PBE, the Alexandria database).

Cell: 3.7685 3.7685 17.7573 Å, 90.00 90.00 120.00°
Space group R-3m (No. 166, hexagonal axes)
One atom of each set of equivalent atoms:
Tb1 0.0000 0.0000 0.2440 x6
B1 0.0000 0.0000 0.5000 x3
F1 0.0000 0.0000 0.0000 x3

As for the crystal system: trigonal. The density of states at the Fermi level comes out at 2.72 states/eV/f.u.

=====

(2)
# Tc2BF

Crystalline Tc2BF at its relaxed geometry (PBE, the Alexandria database).

Cell: 6.2504 6.2504 4.9771 Å, 90.00 90.00 90.00°
Space group I-42d (No. 122)
One atom of each set of equivalent atoms:
Tc1 0.2023 0.2500 0.1250 x8
B1 0.0000 0.0000 0.0000 x4
F1 0.0000 0.0000 0.5000 x4

As for the crystal system: tetragonal. The density of states at the Fermi level comes out at 3.38 states/eV/f.u.

=====

(3)
# Tc2BF

Crystalline Tc2BF at its relaxed geometry (PBE, the Alexandria database).

Cell: 5.5815 5.5815 5.5815 Å, 90.00 90.00 90.00°
Space group Fm-3m (No. 225)
One atom of each set of equivalent atoms:
Tc1 0.2500 0.2500 0.2500 x8
B1 0.0000 0.0000 0.0000 x4
F1 0.0000 0.0000 0.5000 x4

As for the crystal system: cubic. The density of states at the Fermi level comes out at 4.67 states/eV/f.u.

=====

(4)
# Tc3BF

Crystalline Tc3BF at its relaxed geometry (PBE, the Alexandria database).

Cell: 4.1103 4.1103 4.1103 Å, 90.00 90.00 90.00°
Space group Pm-3m (No. 221)
One atom of each set of equivalent atoms:
Tc1 0.0000 0.0000 0.5000 x3
B1 0.0000 0.0000 0.0000 x1
F1 0.5000 0.5000 0.5000 x1

As for the crystal system: cubic. The density of states at the Fermi level comes out at 5.89 states/eV/f.u.

=====

(5)
# BTeF3

Crystalline BTeF3 at its relaxed geometry (PBE, the Alexandria database).

Cell: 4.0697 4.0697 4.0697 Å, 90.00 90.00 90.00°
Space group Pm-3m (No. 221)
One atom of each set of equivalent atoms:
B1 0.0000 0.0000 0.0000 x1
Te1 0.5000 0.5000 0.5000 x1
F1 0.0000 0.0000 0.5000 x3

As for the crystal system: cubic. The density of states at the Fermi level comes out at 3.43 states/eV/f.u.

=====

(6)
# BTeF3

Crystalline BTeF3 at its relaxed geometry (PBE, the Alexandria database).

Cell: 4.5442 4.5442 4.5442 Å, 90.00 90.00 90.00°
Space group Pm-3m (No. 221)
One atom of each set of equivalent atoms:
B1 0.0000 0.0000 0.0000 x1
Te1 0.5000 0.5000 0.5000 x1
F1 0.0000 0.5000 0.5000 x3

As for the crystal system: cubic. The density of states at the Fermi level comes out at 3.91 states/eV/f.u.

=====

For the records above, the corresponding DFT total energy values read -69.38, -113.18, -113.95, -36.22, -16.51, -16.22 eV/cell.
For the records above, the corresponding V values read 73, 49, 43, 69, 67, 94 Å³/f.u..
For the records above, the corresponding ρ values read 7.9, 7.7, 8.6, 7.7, 4.8, 3.5 g cm⁻³.